(1)
This record from Alexandria via LeMat-Bulk describes a relaxed structure of LiHgO2. The functional is PBE.

## Properties
Raw formation energy in eV per atom: -0.520
Crystal system: trigonal
Uncorrected energy in eV/atom: -3.5534
Space-group type: R-3m (166)
Density of states at the Fermi level in states/eV/atom: 0.27

a = 6.1121 Å, b = 6.1121 Å, c = 6.1121 Å
α = 33.14°, β = 33.14°, γ = 33.14°
Closest atoms and distances in Å follow each position.
Positions (direct):
1 Li 0.0000 0.0000 0.0000  2 O 1.78
2 Hg 0.5000 0.5000 0.5000  6 O 2.29
3 O 0.1031 0.1031 0.1031  1 Li 1.78
4 O 0.8969 0.8969 0.8969  1 Li 1.78



(2)
This record from Alexandria via LeMat-Bulk describes a relaxed structure of La4Cd3Hg2. The functional is PBE.

## Properties
Energy of formation from the pure elements in eV per atom: -0.364
Crystal system: trigonal
Uncorrected energy in eV/atom: -2.9261
Space-group type: P-3m1 (164)
Density of states at the Fermi level in states/eV/atom: 1.20

a = 5.3973 Å, b = 5.3973 Å, c = 10.3535 Å
α = 90.00°, β = 90.00°, γ = 120.00°
Closest atoms and distances in Å follow each position.
Positions (direct):
1 La 0.0000 0.0000 0.1594  1 La 3.30, 3 Hg 3.48, 7 Cd 3.51-3.54
2 La 0.0000 0.0000 0.8406  1 La 3.30, 3 Hg 3.48, 7 Cd 3.51-3.54
3 La 0.3333 0.6667 0.3745  4 Hg 3.19-3.28, 3 Cd 3.38
4 La 0.6667 0.3333 0.6255  4 Hg 3.19-3.28, 3 Cd 3.38
5 Cd 0.0000 0.0000 0.5000  8 La 3.38-3.53, 6 Hg 3.69
6 Cd 0.3333 0.6667 0.0027  3 Cd 3.12, 1 Hg 3.23
7 Cd 0.6667 0.3333 0.9973  3 Cd 3.12, 1 Hg 3.23
8 Hg 0.3333 0.6667 0.6909  7 La 3.19-3.48, 1 Cd 3.23
9 Hg 0.6667 0.3333 0.3091  7 La 3.19-3.48, 1 Cd 3.23



(3)
This record from Alexandria via LeMat-Bulk describes a relaxed structure of Ho2BeSiRh6. The functional is PBE.

## Properties
Raw formation energy in eV per atom: -0.655
Crystal system: orthorhombic
Uncorrected energy in eV/atom: -6.8960
Space-group type: Immm (71)
Density of states at the Fermi level in states/eV/atom: 0.89

a = 6.1453 Å, b = 6.1453 Å, c = 6.1453 Å
α = 120.04°, β = 119.93°, γ = 90.03°
Closest atoms and distances in Å follow each position.
Positions (direct):
1 Ho 0.2501 0.2501 0.0000  12 Rh 3.07-3.08
2 Ho 0.7499 0.7499 0.0000  12 Rh 3.07-3.08
3 Be 0.5000 0.0000 0.5000  6 Rh 2.11
4 Si 0.0000 0.5000 0.5000  6 Rh 2.24
5 Rh 0.2575 0.2425 0.4999  1 Be 2.11, 1 Si 2.24
6 Rh 0.2575 0.7575 0.0150  1 Be 2.11, 1 Si 2.24
7 Rh 0.2576 0.7576 0.5000  1 Be 2.11, 1 Si 2.24
8 Rh 0.7424 0.2424 0.5000  1 Be 2.11, 1 Si 2.24
9 Rh 0.7425 0.2425 0.9850  1 Be 2.11, 1 Si 2.24
10 Rh 0.7425 0.7575 0.5001  1 Be 2.11, 1 Si 2.24



(4)
This record from Alexandria via LeMat-Bulk describes a relaxed structure of La4TbPm6. The functional is PBE.

## Properties
Energy of formation from the pure elements in eV per atom: 0.269
Crystal system: tetragonal
Uncorrected energy in eV/atom: -4.5352
Offset from the most stable computed form in meV/atom: 18
Space-group type: I-42m (121)
Density of states at the Fermi level in states/eV/atom: 1.55

a = 9.6796 Å, b = 9.6796 Å, c = 9.6796 Å
α = 138.07°, β = 138.07°, γ = 60.79°
Closest atoms and distances in Å follow each position.
Positions (direct):
1 La 0.0100 0.6320 0.0000  5 Pm 3.47-3.89, 1 Tb 3.52, 1 La 3.70
2 La 0.3680 0.3680 0.3779  5 Pm 3.47-3.89, 1 Tb 3.52, 1 La 3.70
3 La 0.6320 0.0100 0.0000  5 Pm 3.47-3.89, 1 Tb 3.52, 1 La 3.70
4 La 0.9900 0.9900 0.6221  5 Pm 3.47-3.89, 1 Tb 3.52, 1 La 3.70
5 Tb 0.0000 0.0000 0.0000  8 Pm 3.46-3.75, 4 La 3.52
6 Pm 0.0000 0.5000 0.5000  4 Pm 3.19, 2 Tb 3.46
7 Pm 0.2171 0.2171 0.6609  3 Pm 3.19-3.32, 1 La 3.47
8 Pm 0.4438 0.7829 0.0000  3 Pm 3.19-3.32, 1 La 3.47
9 Pm 0.5000 0.0000 0.5000  4 Pm 3.19, 2 Tb 3.46
10 Pm 0.5562 0.5562 0.3391  3 Pm 3.19-3.32, 1 La 3.47
11 Pm 0.7829 0.4438 0.0000  3 Pm 3.19-3.32, 1 La 3.47



Question: Among the records above, which one has the lowest uncorrected energy?
Answer: Ho2BeSiRh6



Question: What is the formula in the third record?
Answer: Ho2BeSiRh6



Question: What is the density of states at the Fermi level in the fourth record?
Answer: 1.55 states/eV/atom



Question: Which value of uncorrected energy does entry 4 give?
Answer: -4.5352 eV/atom